Entry 1:
Below is a relaxed CsReH2W crystal, with properties calculated at the PBE level.

```
CsReH2W
1.0
4.1677 0.0000 0.0000
0.0000 4.1677 0.0000
0.0000 0.0000 4.8066
Cs Re H W
1 1 2 1
direct
0.0000 0.0000 0.0000 Cs
0.5000 0.5000 0.5000 Re
0.0000 0.5000 0.5000 H
0.5000 0.0000 0.5000 H
0.5000 0.5000 0.0000 W
```

Results
* symmetry: P4/mmm, No. 123
* DFT total energy: -4.99 eV/atom
* D(E_F): 1.11 states/eV per atom

---

Entry 2:
Below is a relaxed HfTiPb crystal, with properties calculated at the PBE level.

```
HfTiPb
1.0
4.8899 0.0000 0.0000
-2.4450 4.2348 0.0000
0.0000 0.0000 3.1611
Hf Ti Pb
1 1 1
direct
0.0000 0.0000 0.0000 Hf
0.3333 0.6667 0.6123 Ti
0.6667 0.3333 0.3921 Pb
```

Results
* symmetry: P3m1, No. 156
* DFT total energy: -6.97 eV/atom
* polymorph energy (0 for the lowest one): 236.6 meV per atom
* D(E_F): 1.15 states/eV per atom

---

Entry 3:
Below is a relaxed TlCd2B crystal, with properties calculated at the PBE level.

```
TlCd2B
1.0
-2.9575 2.9575 6.4544
2.9575 -2.9575 6.4544
2.9575 2.9575 -6.4544
Tl Cd B
2 4 2
direct
0.0000 0.0000 0.0000 Tl
0.7500 0.2500 0.5000 Tl
0.3166 0.6250 0.1916 Cd
0.3750 0.5666 0.6916 Cd
0.4334 0.1250 0.8084 Cd
0.8750 0.6834 0.3084 Cd
0.2500 0.7500 0.5000 B
0.5000 0.5000 0.0000 B
```

Results
* symmetry: I-42d, No. 122
* DFT total energy: -2.05 eV/atom
* polymorph energy (0 for the lowest one): 0.0 meV per atom
* D(E_F): 0.00 states/eV per atom

---

Entry 4:
Below is a relaxed CuRe2W crystal, with properties calculated at the PBE level.

```
CuRe2W
1.0
4.5896 -1.4334 0.0000
4.5896 1.4334 0.0000
-1.0051 0.0000 4.4926
Cu Re W
1 2 1
direct
0.0000 0.0000 0.0000 Cu
0.2470 0.2470 0.7406 Re
0.5044 0.5044 0.5061 Re
0.7539 0.7539 0.2458 W
```

Results
* symmetry: Cm, No. 8
* DFT total energy: -10.21 eV/atom
* D(E_F): 0.68 states/eV per atom

---

Entry 5:
Below is a relaxed SnPbS2 crystal, with properties calculated at the PBE level.

```
SnPbS2
1.0
2.0137 1.1626 8.4972
-2.0137 1.1626 8.4972
0.0000 -2.3252 8.4972
Sn Pb S
1 1 2
direct
0.0000 0.0000 0.0000 Sn
0.5000 0.5000 0.5000 Pb
0.1012 0.1012 0.1012 S
0.8988 0.8988 0.8988 S
```

Results
* symmetry: R-3m, No. 166
* DFT total energy: -4.11 eV/atom
* raw formation energy: -0.115 eV/atom
* polymorph energy (0 for the lowest one): 365.6 meV per atom
* D(E_F): 0.38 states/eV per atom

---

Entry 6:
Below is a relaxed TeOsBr2 crystal, with properties calculated at the PBE level.

```
TeOsBr2
1.0
3.1322 -4.4006 0.0000
3.1322 4.4006 0.0000
0.0000 0.0000 3.1351
Te Os Br
1 1 2
direct
0.0000 0.0000 0.0000 Te
0.5000 0.5000 0.0000 Os
0.0000 0.5000 0.5000 Br
0.5000 0.0000 0.5000 Br
```

Results
* symmetry: Cmmm, No. 65
* DFT total energy: -3.01 eV/atom
* raw formation energy: 1.418 eV/atom
* polymorph energy (0 for the lowest one): 1350.6 meV per atom
* D(E_F): 1.13 states/eV per atom

---

Entry 7:
Below is a relaxed Ac3Nd6Dy2 crystal, with properties calculated at the PBE level.

```
Ac3Nd6Dy2
1.0
1.8775 1.0840 33.3846
-1.8775 1.0840 33.3846
0.0000 -2.1679 33.3846
Ac Nd Dy
3 6 2
direct
0.0000 0.0000 0.0000 Ac
0.2708 0.2708 0.2708 Ac
0.7292 0.7292 0.7292 Ac
0.0940 0.0940 0.0940 Nd
0.1816 0.1816 0.1816 Nd
0.3646 0.3646 0.3646 Nd
0.6354 0.6354 0.6354 Nd
0.8184 0.8184 0.8184 Nd
0.9060 0.9060 0.9060 Nd
0.4562 0.4562 0.4562 Dy
0.5438 0.5438 0.5438 Dy
```

Results
* symmetry: R-3m, No. 166
* DFT total energy: -4.52 eV/atom
* D(E_F): 1.40 states/eV per atom

---

Entry 8:
Below is a relaxed SrLa2PuSe4 crystal, with properties calculated at the PBE level.

```
SrLa2PuSe4
1.0
7.4630 0.0000 0.0000
0.0000 4.2911 0.0000
-2.4805 0.0000 7.0462
Sr La Pu Se
1 2 1 4
direct
0.0000 0.0000 0.0000 Sr
0.5000 0.0000 0.5000 La
0.5000 0.5000 0.0000 La
0.0000 0.5000 0.5000 Pu
0.2433 0.0000 0.7416 Se
0.2490 0.5000 0.2553 Se
0.7510 0.5000 0.7447 Se
0.7567 0.0000 0.2584 Se
```

Results
* symmetry: P2/m, No. 10
* DFT total energy: -6.84 eV/atom
* raw formation energy: -1.861 eV/atom
* D(E_F): 1.61 states/eV per atom

---

Entry 9:
Below is a relaxed Er2TiIn crystal, with properties calculated at the PBE level.

```
Er2TiIn
1.0
4.6971 0.0000 0.0000
0.0000 4.6971 0.0000
0.0000 0.0000 4.4783
Er Ti In
2 1 1
direct
0.0000 0.5000 0.0000 Er
0.5000 0.0000 0.0000 Er
0.0000 0.0000 0.5000 Ti
0.5000 0.5000 0.5000 In
```

Results
* symmetry: P4/mmm, No. 123
* DFT total energy: -5.06 eV/atom
* polymorph energy (0 for the lowest one): 0.0 meV per atom
* D(E_F): 0.95 states/eV per atom